Record 1
Below is crystalline GaAu2N2 at its relaxed geometry, with properties calculated at the PBE level.

The structure in POSCAR format:
```
GaAu2N2
1.0
6.9075 0.0000 0.0000
0.0000 6.9075 0.0000
0.0000 0.0000 2.9295
N Au Ga
4 4 2
Direct
0.8277 0.3277 0.5000 N
0.6723 0.8277 0.5000 N
0.1723 0.6723 0.5000 N
0.3277 0.1723 0.5000 N
0.6495 0.1495 0.0000 Au
0.8505 0.6495 0.0000 Au
0.3505 0.8505 0.0000 Au
0.1495 0.3505 0.0000 Au
0.5000 0.5000 0.0000 Ga
0.0000 0.0000 0.0000 Ga
```

Final energy in eV per atom: -3.713
Crystal system: tetragonal
DOS at the Fermi energy in states/eV/f.u.: 2.87
Raw formation energy in kJ/mol of atoms: 147.9
Relative energy among the computed polymorphs in eV/atom: 0.3243
M_tot in μB/cell: 0.0

Record 2
Below is crystalline LuTlZn at its relaxed geometry, with properties calculated at the PBE level.

The structure in POSCAR format:
```
LuTlZn
1.0
-0.7949 4.4872 0.9463
-3.8183 2.0859 -1.6527
-3.4398 1.1930 2.8994
Tl Zn Lu
1 1 1
Direct
0.0000 0.0000 0.0000 Tl
0.2500 0.2500 0.2500 Zn
0.5000 0.5000 0.5000 Lu
```

Final energy in eV per atom: -2.904
Crystal system: cubic
DOS at the Fermi energy in states/eV/f.u.: 0.78
Energy of formation in kcal/mol of atoms: -4.2
M_tot in μB/cell: 0.0

Record 3
Below is crystalline La2MgPb4 at its relaxed geometry, with properties calculated at the PBE level.

The structure in POSCAR format:
```
La2MgPb4
1.0
-2.9873 2.0885 -4.0163
3.9574 -1.1316 -3.5319
-2.8114 -6.8342 -5.1247
Pb Mg La
4 1 2
Direct
0.1733 0.1733 0.6534 Pb
0.0000 0.5000 0.0000 Pb
0.8267 0.8267 0.3466 Pb
0.5000 0.0000 0.0000 Pb
0.0000 0.0000 0.0000 Mg
0.6280 0.6280 0.7441 La
0.3720 0.3720 0.2559 La
```

Final energy in eV per atom: -3.880
Crystal system: tetragonal
DOS at the Fermi energy in states/eV/f.u.: 3.58
Energy of formation in kcal/mol of atoms: -2.9
M_tot in μB/cell: 0.0

Record 4
Below is crystalline KTb2C2N6 at its relaxed geometry, with properties calculated at the PBE level.

The structure in POSCAR format:
```
KTb2C2N6
1.0
6.1651 0.0035 0.0026
3.0799 5.1241 0.0937
-0.0006 -2.7482 5.5360
C N Tb K
2 6 2 1
Direct
0.8356 0.3288 0.2521 C
0.1644 0.6712 0.7479 C
0.9728 0.4200 0.1883 N
0.0272 0.5800 0.8117 N
0.3928 0.5803 0.8119 N
0.0784 0.8433 0.6350 N
0.9216 0.1567 0.3650 N
0.6072 0.4197 0.1881 N
0.8286 0.3429 0.8000 Tb
0.1714 0.6571 0.2000 Tb
0.5000 0.0000 0.5000 K
```

Final energy in eV per atom: -7.563
Crystal system: monoclinic
DOS at the Fermi energy in states/eV/f.u.: 3.31
Raw formation energy in kJ/mol of atoms: -38.9
M_tot in μB/cell: 0.9

Record 5
Below is crystalline LiCeH8Pt2 at its relaxed geometry, with properties calculated at the PBE level.

The structure in POSCAR format:
```
LiCeH8Pt2
1.0
4.8041 0.0000 0.0000
2.4020 4.1604 0.0000
2.4020 1.3868 5.5738
H Ce Li Pt
8 1 1 2
Direct
0.0919 0.3858 0.8256 H
0.3033 0.9081 0.1744 H
0.6142 0.3033 0.1744 H
0.1766 0.1766 0.4701 H
0.9081 0.6142 0.1744 H
0.8234 0.8234 0.5299 H
0.6967 0.0919 0.8256 H
0.3858 0.6967 0.8256 H
0.5000 0.5000 0.5000 Ce
0.0000 0.0000 0.0000 Li
0.2736 0.2736 0.1792 Pt
0.7264 0.7264 0.8208 Pt
```

Final energy in eV per atom: -4.075
Crystal system: trigonal
DOS at the Fermi energy in states/eV/f.u.: 7.23
M_tot in μB/cell: 0.9

Record 6
Below is crystalline PrErCd2Hg4 at its relaxed geometry, with properties calculated at the PBE level.

The structure in POSCAR format:
```
PrErCd2Hg4
1.0
-4.0783 -2.6715 1.6092
0.6613 -4.3164 2.7001
-1.2380 2.1439 8.6117
Hg Cd Pr Er
4 2 1 1
Direct
0.1284 0.1284 0.6149 Hg
0.8716 0.8716 0.3851 Hg
0.6208 0.6208 0.1377 Hg
0.3792 0.3792 0.8623 Hg
0.7497 0.7497 0.7509 Cd
0.2503 0.2503 0.2491 Cd
0.0000 0.0000 0.0000 Pr
0.5000 0.5000 0.5000 Er
```

Final energy in eV per atom: -1.927
Crystal system: trigonal
DOS at the Fermi energy in states/eV/f.u.: 3.28
Energy of formation in kcal/mol of atoms: -8.8
M_tot in μB/cell: 0.0

Record 7
Below is crystalline KRb3V at its relaxed geometry, with properties calculated at the PBE level.

The structure in POSCAR format:
```
KRb3V
1.0
7.5789 0.0000 0.0000
0.0000 7.5789 0.0000
0.0000 0.0000 7.5789
Rb V K
3 1 1
Direct
0.0000 0.0000 0.5000 Rb
0.5000 0.0000 0.0000 Rb
0.0000 0.5000 0.0000 Rb
0.5000 0.5000 0.5000 V
0.0000 0.0000 0.0000 K
```

Final energy in eV per atom: -1.517
Crystal system: cubic
DOS at the Fermi energy in states/eV/f.u.: 15.64
Energy of formation in kcal/mol of atoms: 25.5
Relative energy among the computed polymorphs in eV/atom: 0.3497
M_tot in μB/cell: 4.3

Record 8
Below is crystalline Y3TlTe4O12 at its relaxed geometry, with properties calculated at the PBE level.

The structure in POSCAR format:
```
Y3TlTe4O12
1.0
7.3765 0.0096 0.0134
-1.7679 7.1615 0.0134
-1.7679 -2.2605 6.7953
O Y Te Tl
12 3 4 1
Direct
0.5997 0.7126 0.9367 O
0.3237 0.6763 0.5000 O
0.5000 0.3237 0.6763 O
0.6763 0.5000 0.3237 O
0.2874 0.4003 0.0633 O
0.9250 0.5000 0.0750 O
0.5000 0.0750 0.9250 O
0.0750 0.9250 0.5000 O
0.0633 0.2874 0.4003 O
0.9367 0.5997 0.7126 O
0.4003 0.0633 0.2874 O
0.7126 0.9367 0.5997 O
0.0000 0.5739 0.4261 Y
0.4261 0.0000 0.5739 Y
0.5739 0.4261 0.0000 Y
0.9085 0.0915 0.5000 Te
0.0915 0.5000 0.9085 Te
0.5000 0.9085 0.0915 Te
0.5000 0.5000 0.5000 Te
0.0000 0.0000 0.0000 Tl
```

Final energy in eV per atom: -6.372
Crystal system: trigonal
DOS at the Fermi energy in states/eV/f.u.: 3.15
Raw formation energy in kJ/mol of atoms: -162.2
M_tot in μB/cell: 0.0

Question: Which of these has the lowest DOS at the Fermi energy?
Answer: LuTlZn